Entry 1:
The following is a PBE-GGA calculation of a relaxed structure of LaHoCu4, from the Alexandria database.

Computed properties:
* calculated volume: 239 Å³/cell
* energy of formation: -209 meV per atom
* size of the total moment: 0.0 μB/f.u.
* energy above the lowest structure with this stoichiometry: 0 meV per atom
* density: 7.76 g/cm3

```
data_LaHoCu4
_chemical_formula_sum 'La2 Ho2 Cu8'
_cell_length_a 3.934
_cell_length_b 3.934
_cell_length_c 15.430
_cell_angle_alpha 90.00
_cell_angle_beta 90.00
_cell_angle_gamma 90.00
_symmetry_space_group_name_H-M 'I -4 m 2'
_symmetry_Int_Tables_number 119
_symmetry_space_group_name_Hall 'I -4 -2'
loop_
_atom_site_label
_atom_site_type_symbol
_atom_site_fract_x
_atom_site_fract_y
_atom_site_fract_z
_atom_site_occupancy
La1 La 0.000 0.000 0.000 1
Ho1 Ho 0.000 0.500 0.250 1
Cu1 Cu 0.000 0.000 0.417 1
Cu2 Cu 0.000 0.500 0.672 1
```

---

Entry 2:
The following is a PBE-GGA calculation of a relaxed structure of RbFeN3, from the Alexandria database.

Computed properties:
* calculated volume: 74 Å³/cell
* size of the total moment: 2.0 μB/f.u.
* formation energy from raw total energies: 19.80 eV per formula unit
* density: 4.10 g/cm3

```
data_RbFeN3
_chemical_formula_sum 'Rb1 Fe1 N3'
_cell_length_a 4.204
_cell_length_b 4.204
_cell_length_c 4.204
_cell_angle_alpha 90.00
_cell_angle_beta 90.00
_cell_angle_gamma 90.00
_symmetry_space_group_name_H-M 'P m -3 m'
_symmetry_Int_Tables_number 221
_symmetry_space_group_name_Hall '-P 4 2 3'
loop_
_atom_site_label
_atom_site_type_symbol
_atom_site_fract_x
_atom_site_fract_y
_atom_site_fract_z
_atom_site_occupancy
Rb1 Rb 0.000 0.000 0.000 1
Fe1 Fe 0.500 0.500 0.500 1
N1 N 0.000 0.000 0.500 1
```

---

Entry 3:
The following is a PBE-GGA calculation of a relaxed structure of CoAg2Au, from the Alexandria database.

Computed properties:
* calculated volume: 196 Å³/cell
* energy of formation: 248 meV per atom
* size of the total moment: 1.8 μB/f.u.
* energy above the lowest structure with this stoichiometry: 48 meV per atom
* density: 11.96 g/cm3

```
data_CoAg2Au
_chemical_formula_sum 'Co3 Ag6 Au3'
_cell_length_a 2.8631
_cell_length_b 2.8631
_cell_length_c 27.6657
_cell_angle_alpha 90.00
_cell_angle_beta 90.00
_cell_angle_gamma 120.00
_symmetry_space_group_name_H-M 'R 3 m'
_symmetry_Int_Tables_number 160
_symmetry_space_group_name_Hall 'R 3 -2"'
loop_
_atom_site_label
_atom_site_type_symbol
_atom_site_fract_x
_atom_site_fract_y
_atom_site_fract_z
_atom_site_occupancy
Co1 Co 0.0000 0.0000 0.0000 1
Ag1 Ag 0.0000 0.0000 0.5004 1
Ag2 Ag 0.0000 0.0000 0.7453 1
Au1 Au 0.0000 0.0000 0.2564 1
```